1.
# KMnP2 GGA-PBE relaxed
data_KMnP2
_space_group_name_H-M_alt 'P 1'
_space_group_IT_number 1
_space_group_name_Hall 'P 1'
_cell_length_a 3.331
_cell_length_b 2.851
_cell_length_c 7.801
_cell_angle_alpha 89.99
_cell_angle_beta 90.00
_cell_angle_gamma 90.00
loop_
_atom_site_label
_atom_site_fract_x
_atom_site_fract_y
_atom_site_fract_z
K1 0.000 0.625 0.489
Mn1 0.500 0.625 0.968
P1 0.000 0.125 0.852
P2 0.500 0.125 0.191
# **Formation energy from the elements**: -0.084 eV per atom
# **Calculated total energy**: -5.3554 eV/atom
# **Distance to the lowest polymorph of the same formula**: 0.96 eV per formula unit

2.
# K2MnP2 GGA-PBE relaxed
data_K2MnP2
_space_group_name_H-M_alt 'P 1'
_space_group_IT_number 1
_space_group_name_Hall 'P 1'
_cell_length_a 3.460
_cell_length_b 3.460
_cell_length_c 11.766
_cell_angle_alpha 81.55
_cell_angle_beta 81.55
_cell_angle_gamma 90.00
loop_
_atom_site_label
_atom_site_fract_x
_atom_site_fract_y
_atom_site_fract_z
P1 0.750 0.250 0.500
P2 0.250 0.750 0.500
K1 0.372 0.372 0.257
K2 0.628 0.628 0.743
Mn1 0.000 0.000 0.000
# **Formation energy from the elements**: 0.445 eV per atom
# **Calculated total energy**: -3.9920 eV/atom